A plane-wave DFT calculation with GGA-PBE was carried out for crystalline SrDyHgSb at its relaxed geometry.

As for the formation energy without anion corrections: -0.58 eV/atom. For the spin magnetization, the calculation gives 0.00 μB per atom. For the total DFT energy (no corrections), the calculation gives -3.256 eV/atom.

The space group is F-43m (No. 216) and the conventional cell measures 7.753, 7.753 and 7.753 Å, with angles of 90.00, 90.00 and 90.00 degrees. The asymmetric unit holds Sr at (0.000, 0.000, 0.000), Dy at (0.000, 0.000, 0.500), Hg at (0.250, 0.250, 0.250) and Sb at (0.250, 0.250, 0.750).

---

A plane-wave DFT calculation with GGA-PBE was carried out for crystalline Dy6Hg2SbTe3 at its relaxed geometry.

As for the formation energy without anion corrections: -1.00 eV/atom. For the spin magnetization, the calculation gives 0.00 μB per atom. For the total DFT energy (no corrections), the calculation gives -4.476 eV/atom.

The space group is C2/m (No. 12) and the conventional cell measures 19.589, 4.282 and 8.833 Å, with angles of 90.00, 110.55 and 90.00 degrees. The asymmetric unit holds Dy at (0.011, 0.000, 0.253), Dy at (0.162, 0.500, 0.619), Dy at (0.169, 0.500, 0.130), Hg at (0.185, 0.000, 0.392), Sb at (0.000, 0.500, 0.000), Te at (0.000, 0.500, 0.500) and Te at (0.161, 0.000, 0.868).

---

A plane-wave DFT calculation with GGA-PBE was carried out for crystalline Dy6HgSb2Te3 at its relaxed geometry.

As for the formation energy without anion corrections: -1.12 eV/atom. For the spin magnetization, the calculation gives 0.00 μB per atom. For the total DFT energy (no corrections), the calculation gives -4.917 eV/atom.

The space group is C2/m (No. 12) and the conventional cell measures 19.087, 4.310 and 8.839 Å, with angles of 90.00, 103.60 and 90.00 degrees. The asymmetric unit holds Dy at (0.000, 0.000, 0.240), Dy at (0.161, 0.500, 0.086), Dy at (0.170, 0.500, 0.577), Hg at (0.000, 0.500, 0.000), Sb at (0.166, 0.000, 0.333), Te at (0.000, 0.500, 0.500) and Te at (0.170, 0.000, 0.833).

---

A plane-wave DFT calculation with GGA-PBE was carried out for crystalline Dy5ScHg6 at its relaxed geometry.

For the spin magnetization, the calculation gives 0.00 μB per atom. For the total DFT energy (no corrections), the calculation gives -3.062 eV/atom.

The space group is C2/m (No. 12) and the conventional cell measures 16.436, 7.425 and 5.194 Å, with angles of 90.00, 108.11 and 90.00 degrees. The asymmetric unit holds Dy at (0.000, 0.000, 0.000), Dy at (0.165, 0.000, 0.665), Dy at (0.169, 0.500, 0.669), Sc at (0.000, 0.500, 0.000), Hg at (0.000, 0.264, 0.500) and Hg at (0.162, 0.258, 0.162).

---

A plane-wave DFT calculation with GGA-PBE was carried out for crystalline DySc2Hg2 at its relaxed geometry.

The relative energy among the computed polymorphs is 3.70 kcal/mol of atoms. For the spin magnetization, the calculation gives 0.00 μB per atom. For the total DFT energy (no corrections), the calculation gives -3.764 eV/atom.

The space group is P-3m1 (No. 164) and the conventional cell measures 4.9836, 4.9836 and 6.0917 Å, with angles of 90.00, 90.00 and 120.00 degrees. The asymmetric unit holds Dy at (0.0000, 0.0000, 0.0000), Sc at (0.3333, 0.6667, 0.6556) and Hg at (0.3333, 0.6667, 0.1868).

---

A plane-wave DFT calculation with GGA-PBE was carried out for crystalline Dy5ScHg4 at its relaxed geometry.

For the spin magnetization, the calculation gives 0.00 μB per atom. For the total DFT energy (no corrections), the calculation gives -3.421 eV/atom.

The space group is P4/mmm (No. 123) and the conventional cell measures 3.662, 3.662 and 19.617 Å, with angles of 90.00, 90.00 and 90.00 degrees. The asymmetric unit holds Dy at (0.000, 0.000, 0.000), Dy at (0.000, 0.000, 0.194), Dy at (0.000, 0.000, 0.390), Sc at (0.500, 0.500, 0.500), Hg at (0.500, 0.500, 0.097) and Hg at (0.500, 0.500, 0.294).

---

A plane-wave DFT calculation with GGA-PBE was carried out for crystalline Dy3Sc4Hg4 at its relaxed geometry.

For the spin magnetization, the calculation gives 0.00 μB per atom. For the total DFT energy (no corrections), the calculation gives -3.964 eV/atom.

The space group is Immm (No. 71) and the conventional cell measures 4.765, 7.409 and 15.767 Å, with angles of 90.00, 90.00 and 90.00 degrees. The asymmetric unit holds Dy at (0.000, 0.000, 0.000), Dy at (0.000, 0.500, 0.113), Sc at (0.000, 0.288, 0.324), Hg at (0.000, 0.000, 0.208) and Hg at (0.000, 0.204, 0.500).

---

A plane-wave DFT calculation with GGA-PBE was carried out for crystalline Dy6ScHg3 at its relaxed geometry.

For the spin magnetization, the calculation gives 0.00 μB per atom. For the total DFT energy (no corrections), the calculation gives -3.730 eV/atom.

The space group is P2_1/m (No. 11) and the conventional cell measures 7.713, 5.211 and 13.681 Å, with angles of 90.00, 95.79 and 90.00 degrees. The asymmetric unit holds Dy at (0.031, 0.250, 0.320), Dy at (0.222, 0.750, 0.905), Dy at (0.274, 0.250, 0.101), Dy at (0.322, 0.250, 0.506), Dy at (0.338, 0.750, 0.293), Dy at (0.392, 0.750, 0.672), Sc at (0.209, 0.250, 0.745), Hg at (0.046, 0.750, 0.114), Hg at (0.079, 0.750, 0.454) and Hg at (0.490, 0.250, 0.902).

---

A plane-wave DFT calculation with GGA-PBE was carried out for crystalline DyScHg at its relaxed geometry.

The relative energy among the computed polymorphs is 0.59 kcal/mol of atoms. For the spin magnetization, the calculation gives 0.37 μB per atom. For the total DFT energy (no corrections), the calculation gives -4.023 eV/atom.

The space group is I4mm (No. 107) and the conventional cell measures 3.492, 3.492 and 12.480 Å, with angles of 90.00, 90.00 and 90.00 degrees. The asymmetric unit holds Dy at (0.000, 0.000, 0.000), Sc at (0.000, 0.000, 0.312) and Hg at (0.000, 0.000, 0.670).

---

A plane-wave DFT calculation with GGA-PBE was carried out for crystalline DyScHg2 at its relaxed geometry.

The relative energy among the computed polymorphs is 0.00 kcal/mol of atoms. For the spin magnetization, the calculation gives 0.06 μB per atom. For the total DFT energy (no corrections), the calculation gives -3.335 eV/atom.

The space group is P4/mmm (No. 123) and the conventional cell measures 3.595, 3.595 and 7.336 Å, with angles of 90.00, 90.00 and 90.00 degrees. The asymmetric unit holds Dy at (0.000, 0.000, 0.000), Sc at (0.000, 0.000, 0.500) and Hg at (0.500, 0.500, 0.270).